# Cs4TbI5

An optimized crystal structure of Cs4TbI5 (GGA-PBE, Alexandria via LeMat-Bulk).

Geometry as POSCAR:
```
Cs4TbI5
1.0
8.545 0.000 0.000
4.273 8.112 0.000
4.273 0.000 8.112
Cs Tb I
4 1 5
direct
0.464 0.363 0.804
0.827 0.804 0.637
0.267 0.196 0.363
0.630 0.637 0.196
0.970 0.000 0.000
0.923 0.347 0.816
0.270 0.816 0.653
0.738 0.184 0.347
0.085 0.653 0.184
0.336 0.000 0.000
```

## Properties
Total magnetic moment ... 1.81 μB per cell
Formation energy from raw total energies ... -27.8 kcal/mol of atoms
DOS at the Fermi energy ... 0.67 states/eV/atom